AgOsC3 | GGA-PBE | relaxed

a = 3.994 Å, b = 3.994 Å, c = 3.994 Å
α = 90.00°, β = 90.00°, γ = 90.00°
Fractional positions:
Ag (0.000, 0.000, 0.000)
Os (0.500, 0.500, 0.500)
C (0.000, 0.000, 0.500)
C (0.000, 0.500, 0.000)
C (0.500, 0.000, 0.000)

ΔE_f in meV/atom: 3720
Symmetry: Pm-3m (221)
D(E_F) in states/eV per cell: 2.838
ΔE to the lowest computed polymorph in meV/atom: 1775.2
Mass density in Mg/m³: 8.710